(1)
# SrTl2GaTe4 | Alexandria | PBE | relaxed
data_SrTl2GaTe4
_symmetry_space_group_name_H-M 'P 1'
_symmetry_Int_Tables_number 1
_cell_length_a 9.155
_cell_length_b 9.155
_cell_length_c 9.429
_cell_angle_alpha 121.00
_cell_angle_beta 121.00
_cell_angle_gamma 89.67
loop_
_symmetry_equiv_pos_as_xyz
'x,y,z'
loop_
_atom_site_label
_atom_site_type_symbol
_atom_site_fract_x
_atom_site_fract_y
_atom_site_fract_z
Sr1 Sr 0.000 0.500 0.000
Sr2 Sr 0.000 0.500 0.500
Te1 Te 0.748 0.752 0.961
Te2 Te 0.252 0.248 0.039
Te3 Te 0.225 0.776 0.000
Te4 Te 0.252 0.248 0.461
Te5 Te 0.775 0.224 0.000
Te6 Te 0.748 0.752 0.539
Te7 Te 0.724 0.275 0.500
Te8 Te 0.276 0.725 0.500
Tl1 Tl 0.000 0.000 0.500
Tl2 Tl 0.500 0.500 0.000
Tl3 Tl 0.500 0.000 0.500
Tl4 Tl 0.500 0.000 0.000
Ga1 Ga 0.500 0.500 0.500
Ga2 Ga 0.000 0.000 0.000
# calculated total energy	-51.92	eV/cell
# raw formation energy	-11.4	kcal/mol of atoms
# V	33.96	Å³/atom
# magnetic moment	0.0	μB per formula unit
# theoretical density	6.58	g/cm3

---

(2)
# PrSi2Ru2 | Alexandria | PBE | relaxed
data_PrSi2Ru2
_symmetry_space_group_name_H-M 'P 1'
_symmetry_Int_Tables_number 1
_cell_length_a 5.764
_cell_length_b 5.764
_cell_length_c 5.764
_cell_angle_alpha 136.97
_cell_angle_beta 136.97
_cell_angle_gamma 62.48
loop_
_symmetry_equiv_pos_as_xyz
'x,y,z'
loop_
_atom_site_label
_atom_site_type_symbol
_atom_site_fract_x
_atom_site_fract_y
_atom_site_fract_z
Ru1 Ru 0.250 0.750 0.500
Ru2 Ru 0.750 0.250 0.500
Si1 Si 0.364 0.364 0.000
Si2 Si 0.636 0.636 0.000
Pr1 Pr 0.000 0.000 0.000
# calculated total energy	-38.56	eV/cell
# raw formation energy	-20.2	kcal/mol of atoms
# V	17.62	Å³/atom
# magnetic moment	0.0	μB per formula unit
# theoretical density	7.53	g/cm3

---

(3)
# SbMo5 | Alexandria | PBE | relaxed
data_SbMo5
_symmetry_space_group_name_H-M 'P 1'
_symmetry_Int_Tables_number 1
_cell_length_a 3.238
_cell_length_b 4.470
_cell_length_c 7.206
_cell_angle_alpha 108.07
_cell_angle_beta 90.00
_cell_angle_gamma 90.00
loop_
_symmetry_equiv_pos_as_xyz
'x,y,z'
loop_
_atom_site_label
_atom_site_type_symbol
_atom_site_fract_x
_atom_site_fract_y
_atom_site_fract_z
Mo1 Mo 0.500 0.828 0.656
Mo2 Mo 0.500 0.172 0.344
Mo3 Mo 0.500 0.500 0.000
Mo4 Mo 0.000 0.669 0.337
Mo5 Mo 0.000 0.331 0.663
Sb1 Sb 0.000 0.000 0.000
# calculated total energy	-57.41	eV/cell
# raw formation energy	3.3	kcal/mol of atoms
# V	16.53	Å³/atom
# polymorph energy (0 for the lowest one)	0.0596	eV/atom
# magnetic moment	0.0	μB per formula unit
# theoretical density	10.07	g/cm3

---

(4)
# Rb5Tl12Pb2 | Alexandria | PBE | relaxed
data_Rb5Tl12Pb2
_symmetry_space_group_name_H-M 'P 1'
_symmetry_Int_Tables_number 1
_cell_length_a 8.624
_cell_length_b 9.240
_cell_length_c 10.302
_cell_angle_alpha 63.35
_cell_angle_beta 89.51
_cell_angle_gamma 90.00
loop_
_symmetry_equiv_pos_as_xyz
'x,y,z'
loop_
_atom_site_label
_atom_site_type_symbol
_atom_site_fract_x
_atom_site_fract_y
_atom_site_fract_z
Pb1 Pb 0.000 0.680 0.000
Pb2 Pb 0.000 0.320 0.000
Tl1 Tl 0.898 0.917 0.167
Tl2 Tl 0.221 0.061 0.256
Tl3 Tl 0.221 0.683 0.256
Tl4 Tl 0.779 0.317 0.744
Tl5 Tl 0.671 0.591 0.195
Tl6 Tl 0.329 0.786 0.805
Tl7 Tl 0.102 0.083 0.833
Tl8 Tl 0.329 0.409 0.805
Tl9 Tl 0.779 0.939 0.744
Tl10 Tl 0.338 0.440 0.121
Tl11 Tl 0.671 0.214 0.195
Tl12 Tl 0.662 0.560 0.879
Rb1 Rb 0.023 0.708 0.584
Rb2 Rb 0.977 0.292 0.416
Rb3 Rb 0.447 0.237 0.526
Rb4 Rb 0.500 0.000 0.000
Rb5 Rb 0.553 0.763 0.474
# calculated total energy	-41.58	eV/cell
# V	38.62	Å³/atom
# formation energy from the elements	-0.049	eV per atom
# magnetic moment	0.0	μB per formula unit
# theoretical density	7.46	g/cm3

---

(5)
# NaP3Br | Alexandria | PBE | relaxed
data_NaP3Br
_symmetry_space_group_name_H-M 'P 1'
_symmetry_Int_Tables_number 1
_cell_length_a 4.977
_cell_length_b 4.977
_cell_length_c 4.977
_cell_angle_alpha 90.00
_cell_angle_beta 90.00
_cell_angle_gamma 90.00
loop_
_symmetry_equiv_pos_as_xyz
'x,y,z'
loop_
_atom_site_label
_atom_site_type_symbol
_atom_site_fract_x
_atom_site_fract_y
_atom_site_fract_z
Br1 Br 0.000 0.000 0.000
Na1 Na 0.500 0.500 0.500
P1 P 0.000 0.500 0.000
P2 P 0.500 0.000 0.000
P3 P 0.000 0.000 0.500
# calculated total energy	-13.55	eV/cell
# raw formation energy	26.2	kcal/mol of atoms
# V	24.65	Å³/atom
# polymorph energy (0 for the lowest one)	0.0000	eV/atom
# magnetic moment	0.0	μB per formula unit
# theoretical density	2.64	g/cm3

---

(6)
# Sr2Li2CaSn2 | Alexandria | PBE | relaxed
data_Sr2Li2CaSn2
_symmetry_space_group_name_H-M 'P 1'
_symmetry_Int_Tables_number 1
_cell_length_a 5.068
_cell_length_b 5.068
_cell_length_c 9.998
_cell_angle_alpha 75.32
_cell_angle_beta 75.32
_cell_angle_gamma 60.00
loop_
_symmetry_equiv_pos_as_xyz
'x,y,z'
loop_
_atom_site_label
_atom_site_type_symbol
_atom_site_fract_x
_atom_site_fract_y
_atom_site_fract_z
Sr1 Sr 0.124 0.124 0.629
Sr2 Sr 0.876 0.876 0.371
Li1 Li 0.617 0.617 0.149
Li2 Li 0.383 0.383 0.851
Sn1 Sn 0.735 0.735 0.795
Sn2 Sn 0.265 0.265 0.205
Ca1 Ca 0.000 0.000 0.000
# calculated total energy	-20.65	eV/cell
# V	30.38	Å³/atom
# formation energy from the elements	-0.493	eV per atom
# magnetic moment	0.0	μB per formula unit
# theoretical density	3.64	g/cm3

---

(7)
# Tb3Cd2Pt | Alexandria | PBE | relaxed
data_Tb3Cd2Pt
_symmetry_space_group_name_H-M 'P 1'
_symmetry_Int_Tables_number 1
_cell_length_a 5.156
_cell_length_b 5.156
_cell_length_c 6.383
_cell_angle_alpha 90.00
_cell_angle_beta 90.00
_cell_angle_gamma 120.00
loop_
_symmetry_equiv_pos_as_xyz
'x,y,z'
loop_
_atom_site_label
_atom_site_type_symbol
_atom_site_fract_x
_atom_site_fract_y
_atom_site_fract_z
Cd1 Cd 0.667 0.333 0.360
Cd2 Cd 0.333 0.667 0.640
Tb1 Tb 0.333 0.667 0.143
Tb2 Tb 0.000 0.000 0.500
Tb3 Tb 0.667 0.333 0.857
Pt1 Pt 0.000 0.000 0.000
# calculated total energy	-25.35	eV/cell
# V	24.49	Å³/atom
# formation energy from the elements	-0.598	eV per atom
# magnetic moment	0.0	μB per formula unit
# theoretical density	10.13	g/cm3

---

(8)
# YTeSe2 | Alexandria | PBE | relaxed
data_YTeSe2
_symmetry_space_group_name_H-M 'P 1'
_symmetry_Int_Tables_number 1
_cell_length_a 3.659
_cell_length_b 3.861
_cell_length_c 8.757
_cell_angle_alpha 55.29
_cell_angle_beta 90.00
_cell_angle_gamma 90.00
loop_
_symmetry_equiv_pos_as_xyz
'x,y,z'
loop_
_atom_site_label
_atom_site_type_symbol
_atom_site_fract_x
_atom_site_fract_y
_atom_site_fract_z
Y1 Y 0.500 0.750 0.750
Se1 Se 0.000 0.953 0.949
Se2 Se 0.000 0.547 0.551
Te1 Te 0.500 0.250 0.250
# calculated total energy	-20.08	eV/cell
# raw formation energy	-20.2	kcal/mol of atoms
# V	25.43	Å³/atom
# magnetic moment	0.0	μB per formula unit
# theoretical density	6.11	g/cm3